LaBi3Pd | PBE | optimized geometry

```
5
Lattice="-1.569 5.216 -2.782 -5.628 -2.198 -0.947 -1.807 2.317 5.364" Properties=species:S:1:pos:R:3 pbc="T T T"
Bi -2.814 -1.099 -0.474
Bi -0.904 1.158 2.682
Bi -0.784 2.608 -1.391
Pd -4.502 2.667 0.817
La 0.000 0.000 0.000
```

Properties
The calculation puts the distance to the lowest polymorph of the same formula at 138.7 kJ per mole of atoms. Its electronic total energy is -17.5 eV/cell. The value obtained for the density of states at the Fermi level is 3.6 states/eV per cell.



PrZnCd4 | PBE | optimized geometry

```
12
Lattice="4.862 -0.003 -1.211 -0.606 6.677 -2.451 -0.291 -0.442 9.263" Properties=species:S:1:pos:R:3 pbc="T T T"
Pr 0.760 1.194 3.064
Pr 3.204 5.038 2.538
Zn 2.985 2.887 7.127
Zn 0.979 3.345 -1.526
Cd 3.673 1.943 4.385
Cd 2.731 2.227 0.604
Cd -0.111 1.219 -0.447
Cd 1.560 0.403 6.319
Cd 0.291 4.289 1.216
Cd 1.233 4.004 4.997
Cd 4.366 5.455 -3.214
Cd 2.404 5.829 -0.718
```

Properties
The calculation puts the distance to the lowest polymorph of the same formula at 7.5 kJ per mole of atoms. Its electronic total energy is -21.1 eV/cell. The value obtained for the density of states at the Fermi level is 7.1 states/eV per cell.



BeCdB | PBE | optimized geometry

```
6
Lattice="2.974 0.000 0.000 -1.487 2.576 0.000 0.000 0.000 9.473" Properties=species:S:1:pos:R:3 pbc="T T T"
Be 0.000 0.000 8.240
Be 0.000 0.000 1.233
B 0.000 1.717 9.404
B 1.487 0.859 0.068
Cd 0.000 1.717 6.069
Cd 1.487 0.859 3.404
```

Properties
The calculation puts the distance to the lowest polymorph of the same formula at 2.9 kJ per mole of atoms. Its electronic total energy is -21.8 eV/cell. The value obtained for the density of states at the Fermi level is 1.3 states/eV per cell.



ReAs2Os2 | PBE | optimized geometry

```
5
Lattice="-1.878 1.878 5.814 1.878 -1.878 5.814 1.878 1.878 -5.814" Properties=species:S:1:pos:R:3 pbc="T T T"
Re 0.000 0.000 0.000
As 1.878 0.000 2.907
As 0.000 1.878 2.907
Os 0.000 0.000 7.053
Os 0.000 0.000 4.574
```

Properties
Its electronic total energy is -40.4 eV/cell. The value obtained for the density of states at the Fermi level is 4.0 states/eV per cell.



SmDyTh2 | PBE | optimized geometry

```
4
Lattice="5.142 0.000 0.000 0.000 5.018 0.000 0.000 0.000 5.018" Properties=species:S:1:pos:R:3 pbc="T T T"
Sm 2.571 2.509 2.509
Th 0.000 0.000 2.509
Th 0.000 2.509 0.000
Dy 2.571 0.000 0.000
```

Properties
The calculation puts the distance to the lowest polymorph of the same formula at 3.0 kJ per mole of atoms. Its electronic total energy is -23.9 eV/cell. The value obtained for the density of states at the Fermi level is 6.0 states/eV per cell.



no.,total magnetic moment (μB/atom)
1,0.000
2,0.000
3,0.000
4,0.273
5,0.000